w:
Material: BaBeZn
Method: DFT, PBE
State: relaxed

Cell lengths 7.4365, 7.4365, 7.4365 Å; angles 90.00, 90.00, 90.00 degrees
Closest atoms and distances in Å follow each position.
Space group F-43m (No. 216)
Unique sites:
Ba 0.0000 0.0000 0.0000 [4 per cell]  4 Be 3.22, 4 Zn 3.22
Be 0.2500 0.2500 0.7500 [4 per cell]  4 Ba 3.22
Zn 0.2500 0.2500 0.2500 [4 per cell]  4 Ba 3.22

Properties
Fermi-level density of states   14.245 states/eV per cell

x:
Material: BaBeZn
Method: DFT, PBE
State: relaxed

Cell lengths 3.3733, 3.3733, 12.0257 Å; angles 90.00, 90.00, 90.00 degrees
Closest atoms and distances in Å follow each position.
Space group I4mm (No. 107)
Unique sites:
Ba 0.0000 0.0000 0.0000 [2 per cell]  5 Zn 3.33-3.59, 4 Ba 3.37, 5 Be 3.42-3.52
Be 0.0000 0.0000 0.2848 [2 per cell]  4 Zn 2.50
Zn 0.0000 0.0000 0.7232 [2 per cell]  4 Be 2.50

Properties
Fermi-level density of states   4.325 states/eV per cell

y:
Material: BaBeZn
Method: DFT, PBE
State: relaxed

Cell lengths 5.3549, 15.2237, 4.2755 Å; angles 90.00, 90.00, 90.00 degrees
Closest atoms and distances in Å follow each position.
Space group Cmcm (No. 63)
Unique sites:
Ba 0.0000 0.1309 0.2500 [4 per cell]  5 Zn 3.43-3.57, 4 Be 3.50
Be 0.0000 0.5000 0.0000 [4 per cell]  2 Be 2.14, 2 Zn 2.31
Zn 0.0000 0.3655 0.2500 [4 per cell]  2 Be 2.31

Properties
Fermi-level density of states   10.906 states/eV per cell

z:
Material: BaBeZn
Method: DFT, PBE
State: relaxed

Cell lengths 4.2379, 4.2379, 5.0240 Å; angles 90.00, 90.00, 120.00 degrees
Closest atoms and distances in Å follow each position.
Space group P-6m2 (No. 187)
Unique sites:
Ba 0.0000 0.0000 0.0000 [1 per cell]  6 Be 3.51, 6 Zn 3.51
Be 0.6667 0.3333 0.5000 [1 per cell]  3 Zn 2.45
Zn 0.3333 0.6667 0.5000 [1 per cell]  3 Be 2.45

Properties
Fermi-level density of states   2.457 states/eV per cell

What should be chosen as the most stable of them? Choose y.

w:
Material: BaZr3Be
Method: DFT, PBE
State: relaxed

Cell lengths 5.2487, 5.2487, 5.2487 Å; angles 90.00, 90.00, 90.00 degrees
Closest atoms and distances in Å follow each position.
Space group Pm-3m (No. 221)
Unique sites:
Ba 0.0000 0.0000 0.0000 [1 per cell]  6 Zr 2.62
Zr 0.0000 0.0000 0.5000 [3 per cell]  2 Ba 2.62
Be 0.5000 0.5000 0.5000 [1 per cell]  12 Zr 3.71

Properties
Fermi-level density of states   9.379 states/eV per cell

x:
Material: BaZr3Be
Method: DFT, PBE
State: relaxed

Cell lengths 5.0153, 5.0153, 5.0153 Å; angles 90.00, 90.00, 90.00 degrees
Closest atoms and distances in Å follow each position.
Space group Pm-3m (No. 221)
Unique sites:
Ba 0.0000 0.0000 0.0000 [1 per cell]  12 Zr 3.55
Zr 0.0000 0.5000 0.5000 [3 per cell]  2 Be 2.51
Be 0.5000 0.5000 0.5000 [1 per cell]  6 Zr 2.51

Properties
Fermi-level density of states   5.917 states/eV per cell

What should be chosen as the most stable of them? Choose x.

w:
Material: BaBiBr2
Method: DFT, PBE
State: relaxed

Cell lengths 4.4720, 4.4720, 36.6224 Å; angles 90.00, 90.00, 120.00 degrees
Closest atoms and distances in Å follow each position.
Space group R-3m (No. 166, hexagonal axes)
Unique sites:
Ba 0.0000 0.0000 0.0000 [3 per cell]  6 Br 3.18
Bi 0.0000 0.0000 0.5000 [3 per cell]  2 Br 4.24, 6 Bi 4.47
Br 0.0000 0.0000 0.3842 [6 per cell]  3 Ba 3.18

Properties
Fermi-level density of states   5.154 states/eV per cell

x:
Material: BaBiBr2
Method: DFT, PBE
State: relaxed

Cell lengths 5.4700, 5.4700, 20.8747 Å; angles 90.00, 90.00, 90.00 degrees
Closest atoms and distances in Å follow each position.
Space group I-42d (No. 122)
Unique sites:
Ba 0.0000 0.0000 0.0000 [4 per cell]  4 Br 3.30
Bi 0.0000 0.0000 0.5000 [4 per cell]  4 Br 3.20
Br 0.2269 0.2500 0.6250 [8 per cell]  2 Bi 3.20, 2 Ba 3.30

Properties
Fermi-level density of states   15.284 states/eV per cell

y:
Material: BaBiBr2
Method: DFT, PBE
State: relaxed

Cell lengths 3.9123, 3.9123, 33.6264 Å; angles 90.00, 90.00, 120.00 degrees
Closest atoms and distances in Å follow each position.
Space group R-3m (No. 166, hexagonal axes)
Unique sites:
Ba 0.0000 0.0000 0.0000 [3 per cell]  2 Br 3.11
Bi 0.0000 0.0000 0.5000 [3 per cell]  6 Br 3.36
Br 0.0000 0.0000 0.0926 [6 per cell]  1 Ba 3.11, 3 Bi 3.36

Properties
Fermi-level density of states   7.428 states/eV per cell

z:
Material: BaBiBr2
Method: DFT, PBE
State: relaxed

Cell lengths 8.2727, 8.2727, 8.2727 Å; angles 90.00, 90.00, 90.00 degrees
Closest atoms and distances in Å follow each position.
Space group Fm-3m (No. 225)
Unique sites:
Ba 0.0000 0.0000 0.0000 [4 per cell]  8 Br 3.58
Bi 0.0000 0.0000 0.5000 [4 per cell]  8 Br 3.58
Br 0.2500 0.2500 0.2500 [8 per cell]  4 Ba 3.58, 4 Bi 3.58

Properties
Fermi-level density of states   7.451 states/eV per cell

What should be chosen as the most stable of them? Choose w.

w:
Material: Ba2Bi2Br
Method: DFT, PBE
State: relaxed

Cell lengths 4.7609, 4.7609, 18.7556 Å; angles 90.00, 90.00, 90.00 degrees
Closest atoms and distances in Å follow each position.
Space group I4/mmm (No. 139)
Unique sites:
Ba 0.0000 0.0000 0.1111 [4 per cell]  4 Bi 3.53
Bi 0.0000 0.5000 0.2500 [4 per cell]  4 Bi 3.37, 4 Ba 3.53
Br 0.0000 0.0000 0.5000 [2 per cell]  8 Ba 3.96

Properties
Fermi-level density of states   3.997 states/eV per cell

x:
Material: Ba2Bi2Br
Method: DFT, PBE
State: relaxed

Cell lengths 5.5322, 17.9509, 4.6875 Å; angles 90.00, 90.00, 90.00 degrees
Closest atoms and distances in Å follow each position.
Space group Cmmm (No. 65)
Unique sites:
Ba 0.0000 0.1394 0.0000 [4 per cell]  2 Br 3.43, 6 Bi 3.60-3.83
Bi 0.0000 0.2914 0.5000 [4 per cell]  2 Bi 3.14
Br 0.0000 0.0000 0.5000 [2 per cell]  4 Ba 3.43

Properties
Fermi-level density of states   3.175 states/eV per cell

What should be chosen as the most stable of them? Choose x.

w:
Material: BaBiSe2Br
Method: DFT, PBE
State: relaxed

Cell lengths 6.0888, 6.0888, 5.8998 Å; angles 90.00, 90.00, 90.00 degrees
Closest atoms and distances in Å follow each position.
Space group P4/mmm (No. 123)
Unique sites:
Ba 0.0000 0.0000 0.0000 [1 per cell]  2 Br 2.95, 4 Se 3.04
Bi 0.5000 0.5000 0.5000 [1 per cell]  8 Se 4.24, 4 Br 4.31
Se 0.0000 0.5000 0.0000 [2 per cell]  2 Ba 3.04
Br 0.0000 0.0000 0.5000 [1 per cell]  2 Ba 2.95

Properties
Fermi-level density of states   5.889 states/eV per cell

x:
Material: BaBiSe2Br
Method: DFT, PBE
State: relaxed

Cell lengths 5.6433, 5.6433, 5.6150 Å; angles 90.00, 90.00, 90.00 degrees
Closest atoms and distances in Å follow each position.
Space group P4/mmm (No. 123)
Unique sites:
Ba 0.0000 0.0000 0.0000 [1 per cell]  8 Se 3.98, 4 Br 3.99
Bi 0.5000 0.5000 0.5000 [1 per cell]  2 Br 2.81, 4 Se 2.82
Se 0.0000 0.5000 0.5000 [2 per cell]  2 Bi 2.82
Br 0.5000 0.5000 0.0000 [1 per cell]  2 Bi 2.81

Properties
Fermi-level density of states   0.369 states/eV per cell

What should be chosen as the most stable of them? Choose x.

w:
Material: Ba2BiC
Method: DFT, PBE
State: relaxed

Cell lengths 11.1858, 11.1858, 4.9981 Å; angles 90.00, 90.00, 90.00 degrees
Closest atoms and distances in Å follow each position.
Space group I-42d (No. 122)
Unique sites:
Ba 0.0656 0.2500 0.1250 [8 per cell]  2 C 2.96
Bi 0.0000 0.0000 0.5000 [4 per cell]  2 C 2.50
C 0.0000 0.0000 0.0000 [4 per cell]  2 Bi 2.50

Properties
Fermi-level density of states   17.741 states/eV per cell

x:
Material: Ba2BiC
Method: DFT, PBE
State: relaxed

Cell lengths 8.2942, 8.2942, 8.2942 Å; angles 90.00, 90.00, 90.00 degrees
Closest atoms and distances in Å follow each position.
Space group Fm-3m (No. 225)
Unique sites:
Ba 0.2500 0.2500 0.2500 [8 per cell]  4 Bi 3.59, 4 C 3.59
Bi 0.0000 0.0000 0.0000 [4 per cell]  8 Ba 3.59
C 0.0000 0.0000 0.5000 [4 per cell]  8 Ba 3.59

Properties
Fermi-level density of states   0.146 states/eV per cell

What should be chosen as the most stable of them? Choose w.

w:
Material: Ba2ZrBiC
Method: DFT, PBE
State: relaxed

Cell lengths 6.3962, 6.3962, 5.5160 Å; angles 90.00, 90.00, 90.00 degrees
Closest atoms and distances in Å follow each position.
Space group P4/mmm (No. 123)
Unique sites:
Ba 0.0000 0.5000 0.0000 [2 per cell]  2 Zr 3.20
Zr 0.0000 0.0000 0.0000 [1 per cell]  2 Bi 2.76
Bi 0.0000 0.0000 0.5000 [1 per cell]  2 Zr 2.76
C 0.5000 0.5000 0.5000 [1 per cell]  8 Ba 4.22, 4 Bi 4.52

Properties
Fermi-level density of states   4.722 states/eV per cell

x:
Material: Ba2ZrBiC
Method: DFT, PBE
State: relaxed

Cell lengths 5.6281, 5.6281, 5.0871 Å; angles 90.00, 90.00, 90.00 degrees
Closest atoms and distances in Å follow each position.
Space group P4/mmm (No. 123)
Unique sites:
Ba 0.0000 0.5000 0.0000 [2 per cell]  2 C 2.81
Zr 0.0000 0.0000 0.5000 [1 per cell]  8 Ba 3.79, 4 Bi 3.98
Bi 0.5000 0.5000 0.5000 [1 per cell]  2 C 2.54
C 0.5000 0.5000 0.0000 [1 per cell]  2 Bi 2.54, 4 Ba 2.81

Properties
Fermi-level density of states   5.210 states/eV per cell

What should be chosen as the most stable of them? Choose x.

w:
Material: BaCaBi2
Method: DFT, PBE
State: relaxed

Cell lengths 4.3909, 4.3909, 28.2305 Å; angles 90.00, 90.00, 120.00 degrees
Closest atoms and distances in Å follow each position.
Space group R-3m (No. 166, hexagonal axes)
Unique sites:
Ba 0.0000 0.0000 0.0000 [3 per cell]  6 Bi 3.59
Ca 0.0000 0.0000 0.5000 [3 per cell]  6 Bi 3.33
Bi 0.0000 0.0000 0.2432 [6 per cell]  3 Ca 3.33, 3 Ba 3.59

Properties
Fermi-level density of states   9.623 states/eV per cell

x:
Material: BaCaBi2
Method: DFT, PBE
State: relaxed

Cell lengths 4.0805, 7.9162, 9.7876 Å; angles 90.00, 90.00, 90.00 degrees
Closest atoms and distances in Å follow each position.
Space group Amm2 (No. 38)
Unique sites:
Ba 0.0000 0.0000 0.0000 [2 per cell]  8 Bi 3.74-3.78, 2 Ba 4.08
Ca 0.5000 0.0000 0.5378 [2 per cell]  4 Bi 3.15-3.17
Bi 0.5000 0.2242 0.2697 [4 per cell]  2 Ca 3.15-3.17

Properties
Fermi-level density of states   2.839 states/eV per cell

What should be chosen as the most stable of them? Choose x.

w:
Material: Ba2CaBi2
Method: DFT, PBE
State: relaxed

Cell lengths 5.4773, 5.4773, 15.1156 Å; angles 90.00, 90.00, 90.00 degrees
Closest atoms and distances in Å follow each position.
Space group I4/mmm (No. 139)
Unique sites:
Ba 0.0000 0.5000 0.2500 [4 per cell]  4 Bi 3.52, 4 Ba 3.87
Ca 0.0000 0.0000 0.0000 [2 per cell]  8 Bi 4.18, 8 Ba 4.67
Bi 0.0000 0.0000 0.3962 [4 per cell]  1 Bi 3.14

Properties
Fermi-level density of states   6.985 states/eV per cell

x:
Material: Ba2CaBi2
Method: DFT, PBE
State: relaxed

Cell lengths 8.5788, 14.2077, 7.3871 Å; angles 90.00, 90.00, 90.00 degrees
Closest atoms and distances in Å follow each position.
Space group Ibam (No. 72)
Unique sites:
Ba 0.1539 0.1440 0.0000 [8 per cell]  5 Bi 3.54-3.83
Ca 0.0000 0.5000 0.2500 [4 per cell]  4 Bi 3.19
Bi 0.2405 0.3878 0.0000 [8 per cell]  2 Ca 3.19, 2 Ba 3.54-3.58

y:
Material: Ba2CaBi2
Method: DFT, PBE
State: relaxed

Cell lengths 9.9080, 9.9080, 4.1784 Å; angles 90.00, 90.00, 90.00 degrees
Closest atoms and distances in Å follow each position.
Space group P4/mbm (No. 127)
Unique sites:
Ba 0.1255 0.3745 0.0000 [4 per cell]  6 Bi 3.47-3.69, 1 Ba 3.52
Ca 0.0000 0.0000 0.0000 [2 per cell]  4 Ba 3.91, 2 Ca 4.18, 8 Bi 4.21
Bi 0.1766 0.6766 0.5000 [4 per cell]  6 Ba 3.47-3.69

Properties
Fermi-level density of states   6.703 states/eV per cell

What should be chosen as the most stable of them? Choose x.

w:
Material: Ba2CaBi2
Method: DFT, PBE
State: relaxed

Cell lengths 5.1999, 19.5065, 8.8888 Å; angles 90.00, 90.00, 90.00 degrees
Closest atoms and distances in Å follow each position.
Space group Cmc2_1 (No. 36)
Unique sites:
Ba 0.0000 0.0373 0.0000 [4 per cell]  5 Bi 3.55-3.73, 2 Ca 3.91
Ba 0.0000 0.2023 0.6587 [4 per cell]  5 Bi 3.61-3.80
Ca 0.0000 0.4043 0.8479 [4 per cell]  4 Bi 3.15-3.32
Bi 0.0000 0.1766 0.2564 [4 per cell]  2 Ca 3.15
Bi 0.0000 0.4383 0.2074 [4 per cell]  2 Ca 3.26-3.32

x:
Material: Ba2CaBi2
Method: DFT, PBE
State: relaxed

Cell lengths 9.2681, 9.2681, 4.8416 Å; angles 90.00, 90.00, 90.00 degrees
Closest atoms and distances in Å follow each position.
Space group P4/mbm (No. 127)
Unique sites:
Ba 0.1363 0.3637 0.0000 [4 per cell]  6 Bi 3.50-3.75, 1 Ba 3.57
Ca 0.0000 0.0000 0.5000 [2 per cell]  4 Bi 3.44
Bi 0.1708 0.6708 0.5000 [4 per cell]  2 Ca 3.44, 6 Ba 3.50-3.75

Properties
Fermi-level density of states   0.978 states/eV per cell

What should be chosen as the most stable of them? Choose w.

w:
Material: Ba2Ca3Bi4
Method: DFT, PBE
State: relaxed

Cell lengths 8.4508, 9.4119, 8.8118 Å; angles 90.00, 108.42, 90.00 degrees
Closest atoms and distances in Å follow each position.
Space group P2_1/c (No. 14)
Unique sites:
Ba 0.1955 0.1810 0.0569 [4 per cell]  6 Bi 3.48-3.83
Ca 0.2660 0.6392 0.2822 [4 per cell]  4 Bi 3.14-3.36
Ca 0.5000 0.0000 0.5000 [2 per cell]  6 Bi 3.26-3.65
Bi 0.0875 0.5410 0.8672 [4 per cell]  1 Bi 3.23, 4 Ca 3.32-3.61
Bi 0.4806 0.6448 0.6586 [4 per cell]  4 Ca 3.14-3.36, 1 Ba 3.48

Properties
Fermi-level density of states   0.078 states/eV per cell

x:
Material: Ba2Ca3Bi4
Method: DFT, PBE
State: relaxed

Cell lengths 7.4214, 18.7248, 9.5974 Å; angles 90.00, 90.00, 90.00 degrees
Closest atoms and distances in Å follow each position.
Space group Cmce (No. 64)
Unique sites:
Ba 0.0000 0.1126 0.0898 [8 per cell]  8 Bi 3.72-4.01, 4 Ca 4.13-4.16
Ca 0.0000 0.0000 0.5000 [4 per cell]  4 Bi 3.12
Ca 0.2500 0.2080 0.7500 [8 per cell]  5 Bi 3.17-3.46
Bi 0.0000 0.1909 0.4470 [8 per cell]  5 Ca 3.26-3.61
Bi 0.2500 0.0388 0.7500 [8 per cell]  3 Ca 3.12-3.17

Properties
Fermi-level density of states   20.197 states/eV per cell

What should be chosen as the most stable of them? Choose w.